# 1
Compound: La2SbBr
Source: Alexandria via LeMat-Bulk
Functional: PBE-GGA
Structure: relaxed

Properties
For the formation energy (no corrections), the calculation gives -466.2 meV per atom. The crystal system is cubic.

Unit cell a=5.5220 b=5.5220 c=5.5220 alpha=60.00 beta=60.00 gamma=60.00
Atoms (fractional coordinates):
La  0.0000  0.0000  0.0000
La  0.2500  0.2500  0.2500
Sb  0.7500  0.7500  0.7500
Br  0.5000  0.5000  0.5000


# 2
Compound: LiAs2Cl
Source: Alexandria via LeMat-Bulk
Functional: PBE-GGA
Structure: relaxed

Properties
For the formation energy (no corrections), the calculation gives -491.0 meV per atom. For the offset from the most stable computed form, the calculation gives 1.32 eV/f.u. The crystal system is orthorhombic.

Unit cell a=6.2882 b=6.2882 c=6.2882 alpha=147.04 beta=99.81 gamma=89.45
Atoms (fractional coordinates):
Li  0.0000  0.0000  0.0000
As  0.5077  0.5077  0.0000
As  0.6855  0.1855  0.5000
Cl  0.1424  0.6424  0.5000


# 3
Compound: Sm5RhAu2
Source: Alexandria via LeMat-Bulk
Functional: PBE-GGA
Structure: relaxed

Properties
The crystal system is orthorhombic. The calculated formation energy is -629 meV/atom.

Unit cell a=7.6060 b=11.8050 c=4.8084 alpha=90.00 beta=90.00 gamma=90.00
Atoms (fractional coordinates):
Sm  0.0000  0.0000  0.0000
Sm  0.1540  0.2947  0.0000
Sm  0.1813  0.5842  0.5000
Sm  0.3187  0.0842  0.5000
Sm  0.3460  0.7947  0.0000
Sm  0.5000  0.5000  0.0000
Sm  0.6540  0.2053  0.0000
Sm  0.6813  0.9158  0.5000
Sm  0.8187  0.4158  0.5000
Sm  0.8460  0.7053  0.0000
Rh  0.0000  0.5000  0.0000
Rh  0.5000  0.0000  0.0000
Au  0.0687  0.8360  0.5000
Au  0.4313  0.3360  0.5000
Au  0.5687  0.6640  0.5000
Au  0.9313  0.1640  0.5000